[1]
# Sm3HoTm7

A relaxed structure of Sm3HoTm7 (PBE-GGA, Alexandria via LeMat-Bulk).

Results
Energy relative to the lowest polymorph listed for this composition = 0.00 eV per formula unit
E_form = 1.76 eV/f.u.

POSCAR file:
```
Sm3HoTm7
1.0
6.8830 0.0000 0.0000
0.0000 5.4551 0.0000
-3.2769 0.0000 9.3399
Sm Ho Tm
3 1 7
direct
0.0000 0.0000 0.0000
0.2801 0.5000 0.4950
0.7199 0.5000 0.5050
0.5000 0.0000 0.0000
0.0000 0.0000 0.5000
0.1506 0.5000 0.7895
0.3197 0.5000 0.1377
0.4256 0.0000 0.3298
0.5744 0.0000 0.6702
0.6803 0.5000 0.8623
0.8494 0.5000 0.2105
```

[2]
# Th2BeP3Ir4

A relaxed structure of Th2BeP3Ir4 (PBE-GGA, Alexandria via LeMat-Bulk).

Results
E_form = -9.93 eV/f.u.

POSCAR file:
```
Th2BeP3Ir4
1.0
4.1001 0.0000 0.0000
0.0000 4.1001 0.0000
0.0000 0.0000 9.8503
Th Be P Ir
2 1 3 4
direct
0.0000 0.5000 0.2418
0.5000 0.0000 0.7582
0.5000 0.5000 0.0000
0.0000 0.0000 0.0000
0.0000 0.5000 0.6408
0.5000 0.0000 0.3592
0.0000 0.0000 0.5000
0.0000 0.5000 0.8799
0.5000 0.0000 0.1201
0.5000 0.5000 0.5000
```

[3]
# ZnGeRhN2

A relaxed structure of ZnGeRhN2 (PBE-GGA, Alexandria via LeMat-Bulk).

Results
E_form (uncorrected) = 1225 meV/atom

POSCAR file:
```
ZnGeRhN2
1.0
3.7505 0.0000 0.0000
0.0000 3.7505 0.0000
0.0000 0.0000 4.9823
Zn Ge Rh N
1 1 1 2
direct
0.0000 0.0000 0.0000
0.5000 0.5000 0.5000
0.5000 0.5000 0.0000
0.0000 0.5000 0.5000
0.5000 0.0000 0.5000
```

[4]
# TlInHg2S4

A relaxed structure of TlInHg2S4 (PBE-GGA, Alexandria via LeMat-Bulk).

Results
E_form (uncorrected) = -322 meV/atom

POSCAR file:
```
TlInHg2S4
1.0
6.7429 0.0000 0.0000
0.0000 7.8864 0.0000
0.0000 0.0000 8.6756
Tl In Hg S
2 2 4 8
direct
0.0000 0.0000 0.0000
0.5000 0.5000 0.5000
0.0000 0.0000 0.5000
0.5000 0.5000 0.0000
0.0000 0.5000 0.1848
0.0000 0.5000 0.8152
0.5000 0.0000 0.3152
0.5000 0.0000 0.6848
0.2166 0.1800 0.3312
0.2166 0.8200 0.6688
0.2834 0.3200 0.8312
0.2834 0.6800 0.1688
0.7166 0.3200 0.1688
0.7166 0.6800 0.8312
0.7834 0.1800 0.6688
0.7834 0.8200 0.3312
```

[5]
# BeSbTe

A relaxed structure of BeSbTe (PBE-GGA, Alexandria via LeMat-Bulk).

Results
Energy relative to the lowest polymorph listed for this composition = 0.14 eV per formula unit
E_form (uncorrected) = -24 meV/atom

POSCAR file:
```
BeSbTe
1.0
4.0569 0.0000 0.0000
2.0163 6.4800 0.0000
0.0028 0.7449 6.8031
Be Sb Te
2 2 2
direct
0.0000 0.0000 0.0000
0.4904 0.0231 0.5010
0.1871 0.6257 0.9329
0.6843 0.6320 0.6372
0.4488 0.1035 0.1545
0.9315 0.1403 0.6561
```

[6]
# MgMo4Ir5

A relaxed structure of MgMo4Ir5 (PBE-GGA, Alexandria via LeMat-Bulk).

Results
E_form = -3.10 eV/f.u.

POSCAR file:
```
MgMo4Ir5
1.0
2.8014 0.0000 0.0000
0.0000 2.8014 0.0000
0.0000 0.0000 19.2798
Mg Mo Ir
1 4 5
direct
0.0000 0.0000 0.0000
0.0000 0.0000 0.1963
0.0000 0.0000 0.3989
0.0000 0.0000 0.6011
0.0000 0.0000 0.8037
0.5000 0.5000 0.1021
0.5000 0.5000 0.2989
0.5000 0.5000 0.5000
0.5000 0.5000 0.7011
0.5000 0.5000 0.8979
```

[7]
# LiGe2Pd2

A relaxed structure of LiGe2Pd2 (PBE-GGA, Alexandria via LeMat-Bulk).

Results
Energy relative to the lowest polymorph listed for this composition = 0.00 eV per formula unit
E_form = -2.33 eV/f.u.

POSCAR file:
```
LiGe2Pd2
1.0
4.4329 0.0000 0.0000
2.0702 3.9325 0.0000
1.0363 0.5417 4.6675
Li Ge Pd
1 2 2
direct
0.0000 0.0000 0.0000
0.2660 0.2668 0.3271
0.7340 0.7332 0.6729
0.3825 0.3807 0.7942
0.6175 0.6193 0.2058
```

[8]
# SrNpCl6

A relaxed structure of SrNpCl6 (PBE-GGA, Alexandria via LeMat-Bulk).

Results
E_form (uncorrected) = -1933 meV/atom

POSCAR file:
```
SrNpCl6
1.0
12.5917 0.0000 0.0000
0.0000 7.7987 0.0000
-4.1516 0.0000 5.9762
Sr Np Cl
2 2 12
direct
0.0000 0.0000 0.0000
0.5000 0.5000 0.0000
0.0000 0.5000 0.5000
0.5000 0.0000 0.5000
0.0707 0.2630 0.8031
0.0707 0.7370 0.8031
0.2341 0.5000 0.5923
0.2659 0.0000 0.4077
0.4293 0.2370 0.1969
0.4293 0.7630 0.1969
0.5707 0.2370 0.8031
0.5707 0.7630 0.8031
0.7341 0.0000 0.5923
0.7659 0.5000 0.4077
0.9293 0.2630 0.1969
0.9293 0.7370 0.1969
```